Version w
VASP calculation (SCAN) on Os2Rh at its PBEsol-relaxed geometry. Values from VASP.

Quantum ESPRESSO input file:
```
&SYSTEM
  ibrav = 0, nat = 12, ntyp = 2
/
ATOMIC_SPECIES
Os 190.23 Os.upf
Rh 102.91 Rh.upf
CELL_PARAMETERS angstrom
3.802 0.000 0.000
0.000 5.374 0.000
0.000 0.000 8.118
ATOMIC_POSITIONS angstrom
Os 0.951 0.667 6.019
Rh 0.951 3.356 3.345
Os 2.852 4.707 2.099
Rh 2.852 2.018 4.773
Os 2.852 4.738 4.725
Os 0.951 3.323 0.666
Os 2.852 2.051 7.451
Rh 2.852 4.705 7.403
Os 0.951 3.354 6.158
Os 2.852 2.020 1.960
Rh 0.951 0.669 0.714
Os 0.951 0.636 3.393
```

space group = Pnma (62)
total magnetic moment = 0.0 μB/cell

=====

Version x
VASP calculation (SCAN) on Os2Rh at its PBEsol-relaxed geometry. Values from VASP.

Quantum ESPRESSO input file:
```
&SYSTEM
  ibrav = 0, nat = 6, ntyp = 2
/
ATOMIC_SPECIES
Os 190.23 Os.upf
Rh 102.91 Rh.upf
CELL_PARAMETERS angstrom
-1.282 0.248 -2.379
2.304 -4.542 -0.169
-5.567 -1.263 2.868
ATOMIC_POSITIONS angstrom
Os -4.224 -4.433 1.813
Os -2.961 -4.921 -0.466
Rh -0.990 -3.176 0.201
Os -1.584 -0.636 0.787
Os -0.320 -1.124 -1.492
Rh -3.555 -2.380 0.120
```

space group = C2/m (12)
total magnetic moment = 0.0 μB/cell

=====

Version y
VASP calculation (SCAN) on Os2Rh at its PBEsol-relaxed geometry. Values from VASP.

Quantum ESPRESSO input file:
```
&SYSTEM
  ibrav = 0, nat = 3, ntyp = 2
/
ATOMIC_SPECIES
Rh 102.91 Rh.upf
Os 190.23 Os.upf
CELL_PARAMETERS angstrom
-1.019 -1.031 -2.269
1.816 -1.986 0.087
-4.025 -1.671 4.166
ATOMIC_POSITIONS angstrom
Rh 0.000 0.000 0.000
Os -0.830 -2.586 -0.049
Os -2.398 -2.103 2.033
```

space group = I4/mmm (139)
total magnetic moment = 0.0 μB/cell

=====

Version z
VASP calculation (SCAN) on Os2Rh at its PBEsol-relaxed geometry. Values from VASP.

Quantum ESPRESSO input file:
```
&SYSTEM
  ibrav = 0, nat = 6, ntyp = 2
/
ATOMIC_SPECIES
Os 190.23 Os.upf
Rh 102.91 Rh.upf
CELL_PARAMETERS angstrom
-1.277 -0.482 -2.345
1.761 -4.529 1.542
-5.630 0.489 2.966
ATOMIC_POSITIONS angstrom
Os -3.005 -2.855 2.224
Os -0.696 -3.577 1.115
Os -2.133 -1.686 -0.062
Rh -3.299 -0.222 1.842
Os 0.475 -4.992 -0.802
Rh -5.470 -1.906 1.801
```

space group = Cm (8)
total magnetic moment = 0.0 μB/cell

=====

What are the relative energies? In meV/atom: version w 58; version x 0; version y 68; version z 14.